Record 1
# Sm3Y7Mg, relaxed, DFT PBE
# spin magnetization: 0.001 μB per formula unit
# formation enthalpy at 0 K: 191 meV per atom
# VASP energy: -58.9 eV for the cell shown
data_Sm3Y7Mg
_space_group_name_H-M_alt 'P 3 m 1'
_space_group_IT_number 156
_cell_length_a 7.0568
_cell_length_b 7.0568
_cell_length_c 8.6384
_cell_angle_alpha 90.00
_cell_angle_beta 90.00
_cell_angle_gamma 120.00
loop_
_space_group_symop_operation_xyz
'x,y,z'
'-y,x-y,z'
'-x+y,-x,z'
'-y,-x,z'
'-x+y,y,z'
'x,x-y,z'
loop_
_atom_site_label
_atom_site_type_symbol
_atom_site_fract_x
_atom_site_fract_y
_atom_site_fract_z
Sm1 Sm 0.1683 0.3366 0.0000
Y1 Y 0.0051 0.5026 0.6614
Y2 Y 0.3323 0.1661 0.3360
Y3 Y 0.3333 0.6667 0.3309
Mg1 Mg 0.0000 0.0000 0.6583


Record 2
# YSiNi, relaxed, DFT PBE
# spin magnetization: 0.000 μB per formula unit
# VASP energy: -79.2 eV for the cell shown
# formation energy (no corrections): -0.71 eV/atom
data_YSiNi
_space_group_name_H-M_alt 'C m c m'
_space_group_IT_number 63
_space_group_name_Hall '-C 2c 2'
_cell_length_a 3.616
_cell_length_b 10.521
_cell_length_c 5.427
_cell_angle_alpha 90.00
_cell_angle_beta 90.00
_cell_angle_gamma 90.00
loop_
_atom_site_label
_atom_site_type_symbol
_atom_site_fract_x
_atom_site_fract_y
_atom_site_fract_z
Y1 Y 0.000 0.198 0.250
Si1 Si 0.000 0.083 0.750
Ni1 Ni 0.000 0.500 0.000


Record 3
# NaPuZnIn, relaxed, DFT PBE
# spin magnetization: 5.728 μB per formula unit
# formation enthalpy at 0 K: 65 meV per atom
# VASP energy: -77.6 eV for the cell shown
data_NaPuZnIn
_space_group_name_H-M_alt 'F -4 3 m'
_space_group_IT_number 216
_space_group_name_Hall 'F -4 2 3'
_cell_length_a 7.339
_cell_length_b 7.339
_cell_length_c 7.339
_cell_angle_alpha 90.00
_cell_angle_beta 90.00
_cell_angle_gamma 90.00
loop_
_atom_site_label
_atom_site_type_symbol
_atom_site_fract_x
_atom_site_fract_y
_atom_site_fract_z
Na1 Na 0.000 0.000 0.000
Pu1 Pu 0.000 0.000 0.500
Zn1 Zn 0.250 0.250 0.750
In1 In 0.250 0.250 0.250


Record 4
# Nd2P3IrRh12, relaxed, DFT PBE
# spin magnetization: 0.001 μB per formula unit
# formation enthalpy at 0 K: -102 meV per atom
# VASP energy: -374.0 eV for the cell shown
data_Nd2P3IrRh12
_space_group_name_H-M_alt 'R -3 m'
_space_group_IT_number 166
_space_group_name_Hall '-R 3 2"'
_cell_length_a 8.4604
_cell_length_b 8.4604
_cell_length_c 15.3852
_cell_angle_alpha 90.00
_cell_angle_beta 90.00
_cell_angle_gamma 120.00
loop_
_atom_site_label
_atom_site_type_symbol
_atom_site_fract_x
_atom_site_fract_y
_atom_site_fract_z
Nd1 Nd 0.0000 0.0000 0.1064
P1 P 0.0000 0.5000 0.0000
Ir1 Ir 0.0000 0.0000 0.5000
Rh1 Rh 0.0070 0.5035 0.8573
Rh2 Rh 0.0548 0.5274 0.3579


Record 5
# Pm10Pr4Y, relaxed, DFT PBE
# spin magnetization: 0.000 μB per formula unit
# formation enthalpy at 0 K: 308 meV per atom
# VASP energy: -136.9 eV for the cell shown
data_Pm10Pr4Y
_space_group_name_H-M_alt 'I 4/m'
_space_group_IT_number 87
_space_group_name_Hall '-I 4'
_cell_length_a 9.983
_cell_length_b 9.983
_cell_length_c 10.661
_cell_angle_alpha 90.00
_cell_angle_beta 90.00
_cell_angle_gamma 90.00
loop_
_atom_site_label
_atom_site_type_symbol
_atom_site_fract_x
_atom_site_fract_y
_atom_site_fract_z
Pm1 Pm 0.000 0.500 0.250
Pm2 Pm 0.115 0.793 0.161
Pr1 Pr 0.059 0.671 0.500
Y1 Y 0.000 0.000 0.500


Record 6
# Cr2NiAs, relaxed, DFT PBE
# spin magnetization: 0.635 μB per formula unit
# formation enthalpy at 0 K: 139 meV per atom
# VASP energy: -58.2 eV for the cell shown
data_Cr2NiAs
_space_group_name_H-M_alt 'C m m m'
_space_group_IT_number 65
_space_group_name_Hall '-C 2 2'
_cell_length_a 4.780
_cell_length_b 7.435
_cell_length_c 2.743
_cell_angle_alpha 90.00
_cell_angle_beta 90.00
_cell_angle_gamma 90.00
loop_
_atom_site_label
_atom_site_type_symbol
_atom_site_fract_x
_atom_site_fract_y
_atom_site_fract_z
Cr1 Cr 0.250 0.250 0.000
Ni1 Ni 0.000 0.000 0.500
As1 As 0.000 0.500 0.500


Record 7
# CeTmAlCd, relaxed, DFT PBE
# spin magnetization: 0.495 μB per formula unit
# formation enthalpy at 0 K: -264 meV per atom
# VASP energy: -64.5 eV for the cell shown
data_CeTmAlCd
_space_group_name_H-M_alt 'F -4 3 m'
_space_group_IT_number 216
_space_group_name_Hall 'F -4 2 3'
_cell_length_a 7.382
_cell_length_b 7.382
_cell_length_c 7.382
_cell_angle_alpha 90.00
_cell_angle_beta 90.00
_cell_angle_gamma 90.00
loop_
_atom_site_label
_atom_site_type_symbol
_atom_site_fract_x
_atom_site_fract_y
_atom_site_fract_z
Ce1 Ce 0.000 0.000 0.000
Tm1 Tm 0.000 0.000 0.500
Al1 Al 0.250 0.250 0.750
Cd1 Cd 0.250 0.250 0.250


Record 8
# TlHgIr, relaxed, DFT PBE
# spin magnetization: 0.000 μB per formula unit
# formation enthalpy at 0 K: 543 meV per atom
# VASP energy: -19.8 eV for the cell shown
data_TlHgIr
_space_group_name_H-M_alt 'I 4 m m'
_space_group_IT_number 107
_space_group_name_Hall 'I 4 -2'
_cell_length_a 3.169
_cell_length_b 3.169
_cell_length_c 12.588
_cell_angle_alpha 90.00
_cell_angle_beta 90.00
_cell_angle_gamma 90.00
loop_
_atom_site_label
_atom_site_type_symbol
_atom_site_fract_x
_atom_site_fract_y
_atom_site_fract_z
Tl1 Tl 0.000 0.000 0.000
Hg1 Hg 0.000 0.000 0.709
Ir1 Ir 0.000 0.000 0.353


Record 9
# TlCuSb2, relaxed, DFT PBE
# spin magnetization: 0.000 μB per formula unit
# VASP energy: -43.2 eV for the cell shown
# formation energy (no corrections): 0.08 eV/atom
data_TlCuSb2
_space_group_name_H-M_alt 'R 3 m'
_space_group_IT_number 160
_space_group_name_Hall 'R 3 -2"'
_cell_length_a 4.1204
_cell_length_b 4.1204
_cell_length_c 21.9923
_cell_angle_alpha 90.00
_cell_angle_beta 90.00
_cell_angle_gamma 120.00
loop_
_atom_site_label
_atom_site_type_symbol
_atom_site_fract_x
_atom_site_fract_y
_atom_site_fract_z
Tl1 Tl 0.0000 0.0000 0.0000
Cu1 Cu 0.0000 0.0000 0.8369
Sb1 Sb 0.0000 0.0000 0.2245
Sb2 Sb 0.0000 0.0000 0.4488


Record 10
# Ta2NbSb2, relaxed, DFT PBE
# spin magnetization: 0.000 μB per formula unit
# VASP energy: -80.4 eV for the cell shown
# formation energy (no corrections): 0.37 eV/atom
data_Ta2NbSb2
_space_group_name_H-M_alt 'P 4/m b m'
_space_group_IT_number 127
_space_group_name_Hall '-P 4 2ab'
_cell_length_a 7.528
_cell_length_b 7.528
_cell_length_c 3.659
_cell_angle_alpha 90.00
_cell_angle_beta 90.00
_cell_angle_gamma 90.00
loop_
_atom_site_label
_atom_site_type_symbol
_atom_site_fract_x
_atom_site_fract_y
_atom_site_fract_z
Ta1 Ta 0.134 0.366 0.000
Nb1 Nb 0.000 0.000 0.000
Sb1 Sb 0.165 0.665 0.500


Record 11
# Cs2NaNbS4, relaxed, DFT PBE
# spin magnetization: 0.000 μB per formula unit
# VASP energy: -311.5 eV for the cell shown
# formation energy (no corrections): -1.17 eV/atom
data_Cs2NaNbS4
_space_group_name_H-M_alt 'F d d d'
_space_group_IT_number 70
_cell_length_a 6.488
_cell_length_b 14.310
_cell_length_c 25.437
_cell_angle_alpha 90.00
_cell_angle_beta 90.00
_cell_angle_gamma 90.00
loop_
_space_group_symop_operation_xyz
'x,y,z'
'-x,-y,-z'
'-x+1/4,-y+1/4,z'
'x+1/4,y+1/4,-z'
'x,-y+1/4,-z+1/4'
'-x,y+1/4,z+1/4'
'-x+1/4,y,-z+1/4'
'x+1/4,-y,z+1/4'
'x,y+1/2,z+1/2'
'-x,-y+1/2,-z+1/2'
'-x+1/4,-y+3/4,z+1/2'
'x+1/4,y+3/4,-z+1/2'
'x,-y+3/4,-z+3/4'
'-x,y+3/4,z+3/4'
'-x+1/4,y+1/2,-z+3/4'
'x+1/4,-y+1/2,z+3/4'
'x+1/2,y,z+1/2'
'-x+1/2,-y,-z+1/2'
'-x+3/4,-y+1/4,z+1/2'
'x+3/4,y+1/4,-z+1/2'
'x+1/2,-y+1/4,-z+3/4'
'-x+1/2,y+1/4,z+3/4'
'-x+3/4,y,-z+3/4'
'x+3/4,-y,z+3/4'
'x+1/2,y+1/2,z'
'-x+1/2,-y+1/2,-z'
'-x+3/4,-y+3/4,z'
'x+3/4,y+3/4,-z'
'x+1/2,-y+3/4,-z+1/4'
'-x+1/2,y+3/4,z+1/4'
'-x+3/4,y+1/2,-z+1/4'
'x+3/4,-y+1/2,z+1/4'
loop_
_atom_site_label
_atom_site_type_symbol
_atom_site_fract_x
_atom_site_fract_y
_atom_site_fract_z
Cs1 Cs 0.125 0.125 0.304
Na1 Na 0.125 0.125 0.125
Nb1 Nb 0.125 0.125 0.625
S1 S 0.078 0.280 0.824


Record 12
# LiInCuSb, relaxed, DFT PBE
# spin magnetization: 0.000 μB per formula unit
# VASP energy: -52.9 eV for the cell shown
# formation energy (no corrections): -0.09 eV/atom
data_LiInCuSb
_space_group_name_H-M_alt 'F -4 3 m'
_space_group_IT_number 216
_space_group_name_Hall 'F -4 2 3'
_cell_length_a 6.821
_cell_length_b 6.821
_cell_length_c 6.821
_cell_angle_alpha 90.00
_cell_angle_beta 90.00
_cell_angle_gamma 90.00
loop_
_atom_site_label
_atom_site_type_symbol
_atom_site_fract_x
_atom_site_fract_y
_atom_site_fract_z
Li1 Li 0.000 0.000 0.000
In1 In 0.250 0.250 0.250
Cu1 Cu 0.000 0.000 0.500
Sb1 Sb 0.250 0.250 0.750